Below is a geometry-optimized Zr2Zn3Pd structure, with properties calculated at the GGA-PBE level.

Lattice parameters (Å, degrees): 3.2481 4.1496 16.3348 90.00 90.00 90.00
Space group Imm2 (No. 44)
Asymmetric unit:
Zr: 0.0000 0.0000 0.0000
Zr: 0.0000 0.5000 0.2353
Zn: 0.0000 0.0000 0.5808
Zn: 0.0000 0.5000 0.6564
Zn: 0.0000 0.5000 0.8093
Pd: 0.0000 0.0000 0.4245

Output
E_tot: -4.59 eV per atom
ΔE to the lowest computed polymorph: 16.2 kJ/mol of atoms
ΔE_f: -0.243 eV/atom

Below is a geometry-optimized Tb3HoTm4 structure, with properties calculated at the GGA-PBE level.

Lattice parameters (Å, degrees): 5.5684 25.9142 3.5095 90.00 90.00 90.00
Space group Cmmm (No. 65)
Asymmetric unit:
Tb: 0.0000 0.0000 0.0000
Tb: 0.0000 0.1555 0.5000
Ho: 0.0000 0.5000 0.5000
Tm: 0.0000 0.2769 0.0000
Tm: 0.0000 0.3964 0.0000

Output
E_tot: -4.34 eV per atom
ΔE to the lowest computed polymorph: 19.0 kJ/mol of atoms
ΔE_f: 0.200 eV/atom

Below is a geometry-optimized Li2IrW structure, with properties calculated at the GGA-PBE level.

Lattice parameters (Å, degrees): 3.6115 3.6115 4.5475 90.00 90.00 90.00
Space group P4/mmm (No. 123)
Asymmetric unit:
Li: 0.0000 0.5000 0.0000
Ir: 0.0000 0.0000 0.5000
W: 0.5000 0.5000 0.5000

Output
E_tot: -6.23 eV per atom
ΔE_f: 0.181 eV/atom